Material: KUSn2Se5
Method: DFT, PBE
State: relaxed

Geometry as POSCAR:
```
KUSn2Se5
1.0
5.3608 0.0000 0.0000
0.0000 7.5640 0.0000
-2.6804 -3.7820 7.2374
Se U Sn K
5 1 2 1
Cartesian
2.6804 1.8537 2.0118 Se
0.0000 1.9284 5.2256 Se
0.0000 -1.9284 5.2256 Se
2.6804 5.7104 2.0118 Se
0.0000 0.0000 0.0000 Se
2.6804 0.0000 0.0000 U
0.0000 0.0000 3.0719 Sn
2.6804 3.7820 4.1655 Sn
0.0000 3.7820 0.0000 K
```

Output
Raw formation energy ... -6.38 eV per formula unit
Total magnetic moment ... 0.999 Bohr magnetons per cell
Space-group type ... Immm

=====

Material: K3U3SnSe8
Method: DFT, PBE
State: relaxed

Geometry as POSCAR:
```
K3U3SnSe8
1.0
-3.4105 -0.5732 7.7851
1.5650 -7.0646 -4.4953
7.1111 4.5189 3.4479
U Se Sn K
3 8 1 3
Cartesian
4.3380 -1.2728 -0.5237 U
1.8503 1.9729 5.6165 U
2.6328 -1.5594 3.3689 U
4.0446 -4.0243 3.6983 Se
3.2507 -0.5568 6.0437 Se
4.9248 -0.3823 2.1293 Se
2.0148 -2.5621 0.6940 Se
1.2209 0.9054 3.0395 Se
-0.4056 0.6320 6.7523 Se
5.6711 -3.7509 -0.0145 Se
0.3407 -2.7366 4.6084 Se
3.5555 2.2595 1.7240 Sn
0.0000 0.0000 0.0000 K
-0.9228 -3.8189 1.6449 K
0.7825 -3.5323 -2.2476 K
```

Output
Raw formation energy ... -17.26 eV per formula unit
Total magnetic moment ... 7.000 Bohr magnetons per cell
Space-group type ... R-3m

=====

Material: K2U2SnSe6
Method: DFT, PBE
State: relaxed

Geometry as POSCAR:
```
K2U2SnSe6
1.0
7.3861 -0.0496 0.1069
-3.6937 6.3963 0.1069
-1.2746 -2.1909 7.6637
Se K U Sn
6 2 2 1
Cartesian
1.9418 -1.1645 5.4117 Se
0.4760 5.3205 2.4658 Se
0.6859 1.1789 2.3466 Se
4.3899 3.0434 2.4658 Se
-1.9721 1.1125 5.4117 Se
1.7319 2.9770 5.5309 Se
-1.9176 5.3631 0.1069 K
5.6100 0.9837 0.1069 K
3.0456 1.0094 3.9387 U
-0.6278 3.1465 3.9387 U
-0.6373 -1.0954 3.8319 Sn
```

Output
Raw formation energy ... -12.37 eV per formula unit
Total magnetic moment ... 4.000 Bohr magnetons per cell
Space-group type ... C2/m

=====

Material: K2USnSe4
Method: DFT, PBE
State: relaxed

Geometry as POSCAR:
```
K2USnSe4
1.0
-3.9342 1.6497 -0.5523
-0.5726 -3.7051 -6.9885
-3.0465 -6.8418 1.2643
K Se Sn U
2 4 1 1
Cartesian
-3.4903 -2.5960 0.3560 K
-3.0465 -6.8418 1.2643 K
-4.8833 -1.1944 -2.2869 Se
-3.2187 -3.6871 -4.8378 Se
-2.6700 -7.7028 -3.9896 Se
-4.3345 -5.2101 -1.4387 Se
-5.2999 -7.8695 -2.5061 Sn
-1.8096 -5.2735 -2.8620 U
```

Output
Raw formation energy ... -8.67 eV per formula unit
Total magnetic moment ... 2.000 Bohr magnetons per cell
Space-group type ... P2/m

=====

Material: KVSnSe3
Method: DFT, PBE
State: relaxed

Geometry as POSCAR:
```
KVSnSe3
1.0
-2.5921 -2.1859 -2.2978
5.3734 -8.0903 1.6347
-6.0463 -0.6451 7.4344
K V Se Sn
2 2 6 2
Cartesian
-0.9279 -1.9346 1.0618 K
-2.3371 -8.9867 5.7095 K
-3.7713 -1.5234 3.8781 V
0.5062 -9.3979 2.8932 V
1.7057 -8.8380 1.0074 Se
-4.0218 -3.3688 2.2657 Se
-2.6870 -5.8914 6.8102 Se
-4.9707 -2.0833 5.7639 Se
0.7568 -7.5524 4.5056 Se
-0.5780 -5.0299 -0.0389 Se
-4.9943 -5.3010 5.2008 Sn
1.7293 -5.6203 1.5705 Sn
```

Output
Raw formation energy ... -4.17 eV per formula unit
Total magnetic moment ... 1.631 Bohr magnetons per cell
Space-group type ... P2_1/m

=====

Material: K4Y3SnSe8
Method: DFT, PBE
State: relaxed

Geometry as POSCAR:
```
K4Y3SnSe8
1.0
8.4489 0.0000 0.0000
0.0000 9.0871 0.4406
-4.2245 -4.2202 5.9777
Se Y K Sn
8 3 4 1
Cartesian
4.2245 4.4303 3.1262 Se
0.0000 4.4139 3.1186 Se
2.1096 2.3063 6.1035 Se
0.0000 0.4366 3.2921 Se
6.3341 2.5606 0.3148 Se
2.1148 2.5606 0.3148 Se
-2.1096 2.3063 6.1035 Se
4.2245 0.4530 3.2996 Se
2.1122 2.4334 3.2091 Y
-2.1122 2.4334 3.2091 Y
4.2245 4.5436 0.2203 Y
-2.1122 -2.1101 2.9888 K
0.0000 0.0000 0.0000 K
4.2245 0.0000 0.0000 K
2.1122 -2.1101 2.9888 K
0.0000 4.5436 0.2203 Sn
```

Output
Raw formation energy ... -24.14 eV per formula unit
Total magnetic moment ... 0.000 Bohr magnetons per cell
Space-group type ... R-3m

=====

Material: K3Y2SnSe6
Method: DFT, PBE
State: relaxed

Geometry as POSCAR:
```
K3Y2SnSe6
1.0
-1.6750 -7.1123 0.4885
6.4151 2.0616 -2.8680
1.6248 1.4070 7.7618
Y K Se Sn
2 3 6 1
Cartesian
3.7193 -0.9953 -1.7495 Y
1.0208 -4.0554 -0.6299 Y
3.1825 -1.8219 2.6912 K
5.8886 1.2468 1.5684 K
0.4763 -4.8906 3.8139 K
2.8000 0.6322 0.4680 Se
0.0964 -2.4335 1.5897 Se
3.5650 -4.2759 4.9143 Se
2.5544 -0.2250 5.5418 Se
3.8105 -3.4187 -0.1595 Se
6.2685 -1.2102 3.7926 Se
0.0000 0.0000 0.0000 Sn
```

Output
Raw formation energy ... -16.94 eV per formula unit
Total magnetic moment ... 0.000 Bohr magnetons per cell
Space-group type ... C2/m

=====

Material: KZnSnSe3
Method: DFT, PBE
State: relaxed

Geometry as POSCAR:
```
KZnSnSe3
1.0
4.0323 0.0000 0.0000
0.0000 9.4438 -0.0922
0.0000 -2.5869 9.4300
Sn K Se Zn
2 2 6 2
Cartesian
3.0242 0.9744 8.1675 Sn
1.0081 5.8825 1.1704 Sn
3.0242 5.6469 7.1312 K
1.0081 1.2100 2.2067 K
1.0081 -1.0565 8.1553 Se
3.0242 3.8636 1.4762 Se
3.0242 0.4809 4.9008 Se
1.0081 6.3759 4.4370 Se
3.0242 7.9133 1.1826 Se
1.0081 2.9932 7.8617 Se
3.0242 7.6383 3.6407 Zn
1.0081 -0.7815 5.6971 Zn
```

Output
Raw formation energy ... -4.20 eV per formula unit
Total magnetic moment ... 0.000 Bohr magnetons per cell
Space-group type ... P2_1/m

=====

Material: K2ZnSn2Se6
Method: DFT, PBE
State: relaxed

Geometry as POSCAR:
```
K2ZnSn2Se6
1.0
-1.0524 -7.6896 -3.2843
1.6980 -3.4378 7.5048
-19.3098 0.6496 4.6666
Sn Se Zn K
8 24 4 8
Cartesian
-3.1168 0.1048 0.7532 Sn
-15.8702 -5.0190 6.0236 Sn
-12.7717 0.4296 3.0865 Sn
-6.5381 0.2199 1.5801 Sn
-2.7940 -5.4588 2.8635 Sn
-12.4489 -5.1341 5.1968 Sn
-16.1930 0.5447 3.9134 Sn
-6.2153 -5.3438 3.6903 Sn
-13.2308 -3.6409 9.2531 Se
-17.6099 -1.1823 5.1141 Se
-1.3770 -3.7318 1.6628 Se
-14.0547 -6.8831 6.2954 Se
-1.0982 -7.2906 3.3120 Se
-4.9512 -6.0916 1.5252 Se
-10.4322 -4.6212 6.6467 Se
-4.7226 -1.6442 1.8519 Se
-16.9818 -4.1328 8.1239 Se
-8.6865 -6.8521 0.4979 Se
-2.1681 -6.8033 -1.1831 Se
-15.0882 -6.5121 1.9673 Se
-11.1423 -1.5047 3.2746 Se
-17.8712 -5.8004 4.6757 Se
-4.0581 -4.7110 5.0286 Se
-10.6427 -8.8681 6.3668 Se
-7.8447 -3.4094 3.5023 Se
-0.3071 -4.2191 6.1578 Se
-4.2866 -9.1584 4.7020 Se
-6.8567 -3.7307 7.6350 Se
-17.2431 -8.7509 7.6854 Se
-11.3528 -5.7516 2.9947 Se
-7.6986 -7.1734 4.6306 Se
-14.2643 -3.2699 4.9250 Se
0.3228 -5.5637 2.1103 Zn
0.0000 0.0000 0.0000 Zn
-9.3321 -5.2389 4.4436 Zn
-9.6549 0.3248 2.3333 Zn
-13.5892 -3.4054 1.5148 K
-9.5732 -3.5405 0.5442 K
-9.4137 -1.3737 6.2326 K
-15.0526 -1.1840 7.5954 K
-5.3978 -1.5088 5.2621 K
0.2412 -1.6984 3.8993 K
-3.9343 -3.7302 -0.8185 K
-19.2281 -3.2157 2.8775 K
```

Output
Raw formation energy ... -8.08 eV per formula unit
Total magnetic moment ... 0.000 Bohr magnetons per cell
Space-group type ... P4/ncc